[1]
VASP calculation (PBE-GGA) on a geometry-optimized Cu2SCl structure.

Output
Formation energy from raw total energies (eV/atom): -0.183
E (eV/cell): -14.90
Total moment (μB per cell): 0.51
ρ (g cm⁻³): 3.793
Polymorph energy (0 for the lowest one) (kJ per mole of atoms): 13.61

Unit cell a=3.719 b=3.719 c=7.431 alpha=75.51 beta=75.51 gamma=60.00
Sites, in units of the cell vectors:
Cu1 0.071 0.071 0.786
Cu2 0.330 0.330 0.010
S1 0.641 0.641 0.076
Cl1 0.457 0.457 0.628


[2]
VASP calculation (PBE-GGA) on a geometry-optimized Cu2SCl structure.

Output
Formation energy from raw total energies (eV/atom): -0.266
E (eV/cell): -30.46
Total moment (μB per cell): 0.00
ρ (g cm⁻³): 4.393
Polymorph energy (0 for the lowest one) (kJ per mole of atoms): 5.70

Unit cell a=3.528 b=6.773 c=6.258 alpha=97.99 beta=88.36 gamma=83.92
Sites, in units of the cell vectors:
Cu1 0.038 0.896 0.850
Cu2 0.135 0.498 0.595
Cu3 0.786 0.438 0.978
Cu4 0.482 0.080 0.472
S1 0.952 0.180 0.700
S2 0.589 0.674 0.767
Cl1 0.007 0.941 0.237
Cl2 0.269 0.422 0.223


[3]
VASP calculation (PBE-GGA) on a geometry-optimized Cu2S2Cl3 structure.

Output
Formation energy from raw total energies (eV/atom): -0.245
E (eV/cell): -23.70
Total moment (μB per cell): 0.00
ρ (g cm⁻³): 2.767

Unit cell a=3.656 b=13.390 c=13.712 alpha=152.34 beta=105.05 gamma=97.52
Sites, in units of the cell vectors:
Cu1 0.366 0.157 0.310
Cu2 0.634 0.843 0.690
S1 0.034 0.404 0.871
S2 0.966 0.596 0.129
Cl1 0.890 0.732 0.494
Cl2 0.000 0.000 0.000
Cl3 0.110 0.268 0.506


[4]
VASP calculation (PBE-GGA) on a geometry-optimized Cu2SCl structure.

Output
Formation energy from raw total energies (eV/atom): -0.315
E (eV/cell): -61.71
Total moment (μB per cell): 0.00
ρ (g cm⁻³): 3.946
Polymorph energy (0 for the lowest one) (kJ per mole of atoms): 0.88

Unit cell a=6.748 b=6.760 c=7.182 alpha=90.00 beta=90.03 gamma=90.00
Sites, in units of the cell vectors:
Cu1 0.631 0.618 0.252
Cu2 0.167 0.750 0.001
Cu3 0.369 0.118 0.248
Cu4 0.369 0.382 0.748
Cu5 0.833 0.250 0.999
Cu6 0.833 0.250 0.499
Cu7 0.167 0.750 0.501
Cu8 0.631 0.882 0.752
S1 0.650 0.290 0.249
S2 0.350 0.790 0.251
S3 0.350 0.710 0.751
S4 0.650 0.210 0.749
Cl1 0.834 0.751 0.002
Cl2 0.834 0.749 0.502
Cl3 0.166 0.249 0.998
Cl4 0.166 0.251 0.498